First-principles (GGA-PBE) data for crystalline NaTb2Ho at its relaxed geometry, as listed in the Alexandria database.

The total energy is -3.663 eV/atom. As for the formation energy: 0.127 eV per atom. The calculation puts the density of states at the Fermi level at 4.33 states/eV per cell. For the total magnetization, the calculation gives 0.00 μB/f.u.

The space group is P4/mmm (No. 123) and the conventional cell measures 3.5149, 3.5149 and 10.6113 Å, with angles of 90.00, 90.00 and 90.00 degrees. Symmetry generates all atoms from Na at (0.0000, 0.0000, 0.0000), Tb at (0.5000, 0.5000, 0.2698) and Ho at (0.0000, 0.0000, 0.5000).